(1)
Here is a relaxed structure of Na4Hf3CrSe8 from the Alexandria database. Energies are from PBE.

a = 7.701 Å, b = 8.349 Å, c = 7.702 Å
α = 117.47°, β = 120.00°, γ = 90.00°
Fractional coordinates of all 16 atoms:
Na (0.500, 0.000, 0.000)
Na (0.500, 0.000, 0.500)
Na (0.000, 0.000, 0.000)
Na (0.000, 0.000, 0.500)
Hf (0.500, 0.500, 0.000)
Hf (0.500, 0.500, 0.500)
Hf (0.000, 0.500, 0.500)
Cr (0.000, 0.500, 0.000)
Se (0.238, 0.717, 0.980)
Se (0.239, 0.717, 0.477)
Se (0.259, 0.277, 0.517)
Se (0.742, 0.717, 0.980)
Se (0.258, 0.283, 0.020)
Se (0.741, 0.723, 0.483)
Se (0.761, 0.283, 0.523)
Se (0.762, 0.283, 0.020)

symmetry	No. 12
crystal system	monoclinic
formation energy from raw total energies	-1147.4	meV/atom
density	5.998	Mg/m³
volume	22.685	Å³/atom


(2)
Here is a relaxed structure of Na2HfCrSe4 from the Alexandria database. Energies are from PBE.

a = 3.873 Å, b = 6.666 Å, c = 7.318 Å
α = 107.54°, β = 90.00°, γ = 90.00°
Fractional coordinates of all 8 atoms:
Na (0.500, 0.000, 0.500)
Na (0.000, 0.500, 0.500)
Hf (0.500, 0.500, 0.000)
Cr (0.000, 0.000, 0.000)
Se (0.500, 0.234, 0.210)
Se (0.500, 0.766, 0.790)
Se (0.000, 0.256, 0.784)
Se (0.000, 0.744, 0.216)

symmetry	No. 10
crystal system	monoclinic
formation energy from raw total energies	-1038.7	meV/atom
density	5.460	Mg/m³
volume	22.518	Å³/atom


(3)
Here is a relaxed structure of HfNb2Cr2 from the Alexandria database. Energies are from PBE.

a = 7.254 Å, b = 7.254 Å, c = 3.270 Å
α = 90.00°, β = 90.00°, γ = 90.00°
Fractional coordinates of all 10 atoms:
Cr (0.371, 0.871, 0.000)
Cr (0.871, 0.629, 0.000)
Cr (0.629, 0.129, 0.000)
Cr (0.129, 0.371, 0.000)
Nb (0.165, 0.665, 0.500)
Nb (0.665, 0.835, 0.500)
Nb (0.835, 0.335, 0.500)
Nb (0.335, 0.165, 0.500)
Hf (0.000, 0.000, 0.000)
Hf (0.500, 0.500, 0.000)

symmetry	No. 127
energy of formation	27.1	kJ per mole of atoms
crystal system	tetragonal
density	9.038	Mg/m³
volume	17.208	Å³/atom


(4)
Here is a relaxed structure of Hf3NbCr from the Alexandria database. Energies are from PBE.

a = 5.056 Å, b = 5.056 Å, c = 5.056 Å
α = 90.00°, β = 90.00°, γ = 90.00°
Fractional coordinates of all 5 atoms:
Cr (0.500, 0.500, 0.500)
Nb (0.000, 0.000, 0.000)
Hf (0.000, 0.500, 0.000)
Hf (0.000, 0.000, 0.500)
Hf (0.500, 0.000, 0.000)

symmetry	No. 221
energy of formation	121.7	kJ per mole of atoms
crystal system	cubic
density	8.743	Mg/m³
volume	25.843	Å³/atom


Look up the density of the second one. 5.460 Mg/m³


What did the second record say?
Here is a relaxed structure of Na2HfCrSe4 from the Alexandria database. Energies are from PBE.

a = 3.873 Å, b = 6.666 Å, c = 7.318 Å
α = 107.54°, β = 90.00°, γ = 90.00°
Fractional coordinates of all 8 atoms:
Na (0.500, 0.000, 0.500)
Na (0.000, 0.500, 0.500)
Hf (0.500, 0.500, 0.000)
Cr (0.000, 0.000, 0.000)
Se (0.500, 0.234, 0.210)
Se (0.500, 0.766, 0.790)
Se (0.000, 0.256, 0.784)
Se (0.000, 0.744, 0.216)

symmetry	No. 10
crystal system	monoclinic
formation energy from raw total energies	-1038.7	meV/atom
density	5.460	Mg/m³
volume	22.518	Å³/atom